A geometry-optimized Li2Mg2Tl7 structure, computed with GGA-PBE.

Structure (CIF):
```
data_Li2Mg2Tl7
_chemical_formula_sum 'Li4 Mg4 Tl14'
_cell_length_a 3.4293
_cell_length_b 16.8300
_cell_length_c 9.9083
_cell_angle_alpha 90.00
_cell_angle_beta 90.00
_cell_angle_gamma 90.00
_space_group_name_H-M_alt 'I m m 2'
_space_group_IT_number 44
_space_group_name_Hall 'I 2 -2'
loop_
_atom_site_label
_atom_site_fract_x
_atom_site_fract_y
_atom_site_fract_z
Li1 0.0000 0.0000 0.0000
Li2 0.0000 0.5000 0.0616
Mg1 0.0000 0.2503 0.8126
Tl1 0.0000 0.1419 0.4991
Tl2 0.0000 0.1636 0.1016
Tl3 0.0000 0.4012 0.3086
Tl4 0.0000 0.5000 0.7623
```

Results
VASP energy (eV/atom): -2.193
D(E_F) (states/eV/atom): 0.34
Calculated formation energy (eV/atom): -0.05
Calculated volume (A^3/atom): 25.99


A geometry-optimized PmHo3C structure, computed with GGA-PBE.

Structure (CIF):
```
data_PmHo3C
_chemical_formula_sum 'Pm1 Ho3 C1'
_cell_length_a 5.0375
_cell_length_b 5.0375
_cell_length_c 5.0375
_cell_angle_alpha 90.00
_cell_angle_beta 90.00
_cell_angle_gamma 90.00
_space_group_name_H-M_alt 'P m -3 m'
_space_group_IT_number 221
_space_group_name_Hall '-P 4 2 3'
loop_
_atom_site_label
_atom_site_fract_x
_atom_site_fract_y
_atom_site_fract_z
Pm1 0.0000 0.0000 0.0000
Ho1 0.0000 0.5000 0.5000
C1 0.5000 0.5000 0.5000
```

Results
VASP energy (eV/atom): -5.562
D(E_F) (states/eV/atom): 0.95
Calculated formation energy (eV/atom): -0.02
Calculated volume (A^3/atom): 25.57


A geometry-optimized LiCaMnRh structure, computed with GGA-PBE.

Structure (CIF):
```
data_LiCaMnRh
_chemical_formula_sum 'Li4 Ca4 Mn4 Rh4'
_cell_length_a 6.5845
_cell_length_b 6.5845
_cell_length_c 6.5845
_cell_angle_alpha 90.00
_cell_angle_beta 90.00
_cell_angle_gamma 90.00
_space_group_name_H-M_alt 'F -4 3 m'
_space_group_IT_number 216
_space_group_name_Hall 'F -4 2 3'
loop_
_atom_site_label
_atom_site_fract_x
_atom_site_fract_y
_atom_site_fract_z
Li1 0.0000 0.0000 0.0000
Ca1 0.2500 0.2500 0.2500
Mn1 0.2500 0.2500 0.7500
Rh1 0.0000 0.0000 0.5000
```

Results
VASP energy (eV/atom): -5.145
D(E_F) (states/eV/atom): 0.54
Calculated formation energy (eV/atom): -0.04
Calculated volume (A^3/atom): 17.84


A geometry-optimized Cd3SeI structure, computed with GGA-PBE.

Structure (CIF):
```
data_Cd3SeI
_chemical_formula_sum 'Cd3 Se1 I1'
_cell_length_a 5.5765
_cell_length_b 5.5765
_cell_length_c 5.5765
_cell_angle_alpha 90.00
_cell_angle_beta 90.00
_cell_angle_gamma 90.00
_space_group_name_H-M_alt 'P m -3 m'
_space_group_IT_number 221
_space_group_name_Hall '-P 4 2 3'
loop_
_atom_site_label
_atom_site_fract_x
_atom_site_fract_y
_atom_site_fract_z
Cd1 0.0000 0.0000 0.5000
Se1 0.0000 0.0000 0.0000
I1 0.5000 0.5000 0.5000
```

Results
VASP energy (eV/atom): -1.590
Energy above the lowest structure with this stoichiometry (eV/atom): 0.0000
D(E_F) (states/eV/atom): 0.27
Calculated volume (A^3/atom): 34.68
Formation energy (no corrections) (meV/atom): -34.2


A geometry-optimized KLi2In structure, computed with GGA-PBE.

Structure (CIF):
```
data_KLi2In
_chemical_formula_sum 'K2 Li4 In2'
_cell_length_a 10.0540
_cell_length_b 3.6077
_cell_length_c 6.6961
_cell_angle_alpha 90.00
_cell_angle_beta 101.37
_cell_angle_gamma 90.00
_space_group_name_H-M_alt 'C 1 2/m 1'
_space_group_IT_number 12
_space_group_name_Hall '-C 2y'
loop_
_atom_site_label
_atom_site_fract_x
_atom_site_fract_y
_atom_site_fract_z
K1 0.0000 0.0000 0.0000
Li1 0.2231 0.0000 0.6386
In1 0.0000 0.5000 0.5000
```

Results
VASP energy (eV/atom): -1.961
D(E_F) (states/eV/atom): 0.57
Calculated formation energy (eV/atom): -0.04
Calculated volume (A^3/atom): 29.76


A geometry-optimized Cr2ReP structure, computed with GGA-PBE.

Structure (CIF):
```
data_Cr2ReP
_chemical_formula_sum 'Cr4 Re2 P2'
_cell_length_a 2.9292
_cell_length_b 4.0184
_cell_length_c 8.2910
_cell_angle_alpha 90.00
_cell_angle_beta 90.00
_cell_angle_gamma 90.00
_space_group_name_H-M_alt 'I m m m'
_space_group_IT_number 71
_space_group_name_Hall '-I 2 2'
loop_
_atom_site_label
_atom_site_fract_x
_atom_site_fract_y
_atom_site_fract_z
Cr1 0.0000 0.0000 0.2360
Re1 0.0000 0.5000 0.0000
P1 0.0000 0.5000 0.5000
```

Results
VASP energy (eV/atom): -9.384
D(E_F) (states/eV/atom): 0.91
Calculated formation energy (eV/atom): -0.11
Calculated volume (A^3/atom): 12.20


A geometry-optimized Th2TaGe4Pt3 structure, computed with GGA-PBE.

Structure (CIF):
```
data_Th2TaGe4Pt3
_chemical_formula_sum 'Th2 Ta1 Ge4 Pt3'
_cell_length_a 4.1963
_cell_length_b 4.1963
_cell_length_c 11.2172
_cell_angle_alpha 90.00
_cell_angle_beta 90.00
_cell_angle_gamma 90.00
_space_group_name_H-M_alt 'P -4 m 2'
_space_group_IT_number 115
_space_group_name_Hall 'P -4 -2'
loop_
_atom_site_label
_atom_site_fract_x
_atom_site_fract_y
_atom_site_fract_z
Th1 0.0000 0.5000 0.2478
Ta1 0.0000 0.0000 0.5000
Ge1 0.0000 0.0000 0.0000
Ge2 0.0000 0.5000 0.6413
Ge3 0.5000 0.5000 0.0000
Pt1 0.0000 0.5000 0.8623
Pt2 0.5000 0.5000 0.5000
```

Results
VASP energy (eV/atom): -7.109
D(E_F) (states/eV/atom): 0.67
Calculated formation energy (eV/atom): -0.78
Calculated volume (A^3/atom): 19.75


A geometry-optimized Tb3NdHo2Se6 structure, computed with GGA-PBE.

Structure (CIF):
```
data_Tb3NdHo2Se6
_chemical_formula_sum 'Tb6 Nd2 Ho4 Se12'
_cell_length_a 7.0899
_cell_length_b 12.3447
_cell_length_c 7.1105
_cell_angle_alpha 90.00
_cell_angle_beta 109.47
_cell_angle_gamma 90.00
_space_group_name_H-M_alt 'C 1 2/m 1'
_space_group_IT_number 12
_space_group_name_Hall '-C 2y'
loop_
_atom_site_label
_atom_site_fract_x
_atom_site_fract_y
_atom_site_fract_z
Tb1 0.0000 0.0000 0.0000
Tb2 0.0000 0.3408 0.0000
Nd1 0.0000 0.5000 0.5000
Ho1 0.0000 0.1654 0.5000
Se1 0.2389 0.0000 0.7476
Se2 0.2438 0.1723 0.2468
```

Results
VASP energy (eV/atom): -5.828
D(E_F) (states/eV/atom): 0.43
Calculated volume (A^3/atom): 24.45
Formation energy (no corrections) (meV/atom): -1767.8


A geometry-optimized LaCoPb2 structure, computed with GGA-PBE.

Structure (CIF):
```
data_LaCoPb2
_chemical_formula_sum 'La2 Co2 Pb4'
_cell_length_a 4.6685
_cell_length_b 4.6685
_cell_length_c 9.5567
_cell_angle_alpha 90.00
_cell_angle_beta 90.00
_cell_angle_gamma 90.00
_space_group_name_H-M_alt 'I -4 m 2'
_space_group_IT_number 119
_space_group_name_Hall 'I -4 -2'
loop_
_atom_site_label
_atom_site_fract_x
_atom_site_fract_y
_atom_site_fract_z
La1 0.0000 0.0000 0.0000
Co1 0.0000 0.5000 0.2500
Pb1 0.0000 0.0000 0.5000
Pb2 0.0000 0.5000 0.7500
```

Results
VASP energy (eV/atom): -4.758
Energy above the lowest structure with this stoichiometry (eV/atom): 0.2794
D(E_F) (states/eV/atom): 1.20
Calculated formation energy (eV/atom): 0.10
Calculated volume (A^3/atom): 26.04


A geometry-optimized RhBrN2O structure, computed with GGA-PBE.

Structure (CIF):
```
data_RhBrN2O
_chemical_formula_sum 'Rh1 Br1 N2 O1'
_cell_length_a 3.9268
_cell_length_b 3.9268
_cell_length_c 3.9656
_cell_angle_alpha 90.00
_cell_angle_beta 90.00
_cell_angle_gamma 90.00
_space_group_name_H-M_alt 'P 4/m m m'
_space_group_IT_number 123
_space_group_name_Hall '-P 4 2'
loop_
_atom_site_label
_atom_site_fract_x
_atom_site_fract_y
_atom_site_fract_z
Rh1 0.0000 0.0000 0.0000
Br1 0.5000 0.5000 0.5000
N1 0.0000 0.5000 0.0000
O1 0.0000 0.0000 0.5000
```

Results
VASP energy (eV/atom): -4.849
D(E_F) (states/eV/atom): 0.68
Calculated volume (A^3/atom): 12.23
Formation energy (no corrections) (meV/atom): 1277.9


A geometry-optimized YHo6Er2Sc3 structure, computed with GGA-PBE.

Structure (CIF):
```
data_YHo6Er2Sc3
_chemical_formula_sum 'Y2 Ho12 Er4 Sc6'
_cell_length_a 6.0136
_cell_length_b 10.4059
_cell_length_c 11.4131
_cell_angle_alpha 90.00
_cell_angle_beta 100.09
_cell_angle_gamma 90.00
_space_group_name_H-M_alt 'C 1 2/m 1'
_space_group_IT_number 12
_space_group_name_Hall '-C 2y'
loop_
_atom_site_label
_atom_site_fract_x
_atom_site_fract_y
_atom_site_fract_z
Y1 0.0000 0.0000 0.0000
Ho1 0.2466 0.3330 0.7412
Ho2 0.2477 0.0000 0.7412
Er1 0.0000 0.3334 0.0000
Sc1 0.0000 0.1667 0.5000
Sc2 0.0000 0.5000 0.5000
```

Results
VASP energy (eV/atom): -5.126
D(E_F) (states/eV/atom): 1.52
Calculated formation energy (eV/atom): 0.04
Calculated volume (A^3/atom): 29.30


A geometry-optimized CaHoZnN2 structure, computed with GGA-PBE.

Structure (CIF):
```
data_CaHoZnN2
_chemical_formula_sum 'Ca2 Ho2 Zn2 N4'
_cell_length_a 5.2537
_cell_length_b 5.3338
_cell_length_c 6.4552
_cell_angle_alpha 90.00
_cell_angle_beta 90.02
_cell_angle_gamma 90.00
_space_group_name_H-M_alt 'P 1 2/c 1'
_space_group_IT_number 13
_space_group_name_Hall '-P 2yc'
loop_
_atom_site_label
_atom_site_fract_x
_atom_site_fract_y
_atom_site_fract_z
Ca1 0.0000 0.0007 0.2500
Ho1 0.5000 0.5002 0.2500
Zn1 0.5000 0.0000 0.0000
N1 0.2724 0.2699 0.0002
```

Results
VASP energy (eV/atom): -5.513
D(E_F) (states/eV/atom): 0.53
Calculated volume (A^3/atom): 18.09
Formation energy (no corrections) (meV/atom): -612.3